(1)
Compound: K6NaCd2
Source: Alexandria
Functional: GGA-PBE
Structure: relaxed

```
data_K6NaCd2
_symmetry_space_group_name_H-M 'P 1'
_symmetry_Int_Tables_number 1
_symmetry_space_group_name_Hall 'P 1'
_cell_length_a 10.7457
_cell_length_b 10.7457
_cell_length_c 10.7457
_cell_angle_alpha 114.42
_cell_angle_beta 111.06
_cell_angle_gamma 103.14
loop_
_atom_site_label
_atom_site_type_symbol
_atom_site_fract_x
_atom_site_fract_y
_atom_site_fract_z
K1 K 0.0214 0.8208 0.2006
K2 K 0.2435 0.5363 0.2928
K3 K 0.2435 0.9507 0.7072
K4 K 0.2810 0.3100 0.5909
K5 K 0.2810 0.6900 0.9710
K6 K 0.3798 0.1792 0.2006
K7 K 0.6202 0.8208 0.7994
K8 K 0.7190 0.3100 0.0290
K9 K 0.7190 0.6900 0.4091
K10 K 0.7565 0.0493 0.2928
K11 K 0.7565 0.4637 0.7072
K12 K 0.9786 0.1792 0.7994
Na1 Na 0.0000 0.5000 0.5000
Na2 Na 0.5000 0.0000 0.5000
Cd1 Cd 0.0000 0.1324 0.1324
Cd2 Cd 0.0000 0.8676 0.8676
Cd3 Cd 0.3892 0.3892 0.0000
Cd4 Cd 0.6108 0.6108 0.0000
```

- Total energy: -1.106 eV per atom
- Formation energy: -2.4 kJ/mol of atoms

(2)
Compound: KNa3Cd3
Source: Alexandria
Functional: GGA-PBE
Structure: relaxed

```
data_KNa3Cd3
_symmetry_space_group_name_H-M 'P 1'
_symmetry_Int_Tables_number 1
_symmetry_space_group_name_Hall 'P 1'
_cell_length_a 8.5340
_cell_length_b 8.5340
_cell_length_c 8.5340
_cell_angle_alpha 90.00
_cell_angle_beta 90.00
_cell_angle_gamma 90.00
loop_
_atom_site_label
_atom_site_type_symbol
_atom_site_fract_x
_atom_site_fract_y
_atom_site_fract_z
K1 K 0.0000 0.0000 0.0000
K2 K 0.5000 0.5000 0.5000
Na1 Na 0.0000 0.2500 0.5000
Na2 Na 0.0000 0.7500 0.5000
Na3 Na 0.2500 0.5000 0.0000
Na4 Na 0.5000 0.0000 0.2500
Na5 Na 0.5000 0.0000 0.7500
Na6 Na 0.7500 0.5000 0.0000
Cd1 Cd 0.0000 0.5000 0.2500
Cd2 Cd 0.0000 0.5000 0.7500
Cd3 Cd 0.2500 0.0000 0.5000
Cd4 Cd 0.5000 0.2500 0.0000
Cd5 Cd 0.5000 0.7500 0.0000
Cd6 Cd 0.7500 0.0000 0.5000
```

- Distance to the lowest polymorph of the same formula: 187 meV/atom
- Total energy: -0.922 eV per atom
- Formation energy: 18.5 kJ/mol of atoms

(3)
Compound: KNa7Cd5
Source: Alexandria
Functional: GGA-PBE
Structure: relaxed

```
data_KNa7Cd5
_symmetry_space_group_name_H-M 'P 1'
_symmetry_Int_Tables_number 1
_symmetry_space_group_name_Hall 'P 1'
_cell_length_a 8.5193
_cell_length_b 8.5193
_cell_length_c 8.5193
_cell_angle_alpha 137.19
_cell_angle_beta 98.76
_cell_angle_gamma 96.55
loop_
_atom_site_label
_atom_site_type_symbol
_atom_site_fract_x
_atom_site_fract_y
_atom_site_fract_z
K1 K 0.0000 0.0000 0.0000
Na1 Na 0.2191 0.5139 0.7053
Na2 Na 0.2428 0.7428 0.5000
Na3 Na 0.3531 0.3531 0.0000
Na4 Na 0.3667 0.0207 0.3460
Na5 Na 0.6677 0.6677 0.0000
Na6 Na 0.6746 0.0207 0.6540
Na7 Na 0.8086 0.5139 0.2947
Cd1 Cd 0.0104 0.0166 0.4924
Cd2 Cd 0.0104 0.5180 0.9938
Cd3 Cd 0.5242 0.0166 0.0062
Cd4 Cd 0.5242 0.5180 0.5076
Cd5 Cd 0.7871 0.2871 0.5000
```

- Total energy: -1.227 eV per atom
- Formation energy: -7.7 kJ/mol of atoms

(4)
Compound: K3Na4Cd2
Source: Alexandria
Functional: GGA-PBE
Structure: relaxed

```
data_K3Na4Cd2
_symmetry_space_group_name_H-M 'P 1'
_symmetry_Int_Tables_number 1
_symmetry_space_group_name_Hall 'P 1'
_cell_length_a 9.8007
_cell_length_b 9.8007
_cell_length_c 8.8607
_cell_angle_alpha 102.59
_cell_angle_beta 102.59
_cell_angle_gamma 73.57
loop_
_atom_site_label
_atom_site_type_symbol
_atom_site_fract_x
_atom_site_fract_y
_atom_site_fract_z
K1 K 0.0657 0.9343 0.7500
K2 K 0.2829 0.4648 0.8206
K3 K 0.4648 0.2829 0.3206
K4 K 0.5352 0.7171 0.6794
K5 K 0.7171 0.5352 0.1794
K6 K 0.9343 0.0657 0.2500
Na1 Na 0.0867 0.2985 0.0482
Na2 Na 0.1323 0.6586 0.3375
Na3 Na 0.2985 0.0867 0.5482
Na4 Na 0.3414 0.8677 0.1625
Na5 Na 0.6586 0.1323 0.8375
Na6 Na 0.7015 0.9133 0.4518
Na7 Na 0.8677 0.3414 0.6625
Na8 Na 0.9133 0.7015 0.9518
Cd1 Cd 0.0851 0.3684 0.4209
Cd2 Cd 0.3684 0.0851 0.9209
Cd3 Cd 0.6316 0.9149 0.0791
Cd4 Cd 0.9149 0.6316 0.5791
```

- Total energy: -1.169 eV per atom
- Formation energy: -1.3 kJ/mol of atoms

(5)
Compound: K5Na6Cd
Source: Alexandria
Functional: GGA-PBE
Structure: relaxed

```
data_K5Na6Cd
_symmetry_space_group_name_H-M 'P 1'
_symmetry_Int_Tables_number 1
_symmetry_space_group_name_Hall 'P 1'
_cell_length_a 10.3069
_cell_length_b 10.3069
_cell_length_c 9.2445
_cell_angle_alpha 90.00
_cell_angle_beta 90.00
_cell_angle_gamma 144.06
loop_
_atom_site_label
_atom_site_type_symbol
_atom_site_fract_x
_atom_site_fract_y
_atom_site_fract_z
K1 K 0.0000 0.0000 0.0000
K2 K 0.3240 0.6760 0.5000
K3 K 0.3249 0.6751 0.0000
K4 K 0.6751 0.3249 0.0000
K5 K 0.6760 0.3240 0.5000
Na1 Na 0.1348 0.8652 0.2874
Na2 Na 0.1348 0.8652 0.7126
Na3 Na 0.5000 0.5000 0.3029
Na4 Na 0.5000 0.5000 0.6971
Na5 Na 0.8652 0.1348 0.2874
Na6 Na 0.8652 0.1348 0.7126
Cd1 Cd 0.0000 0.0000 0.5000
```

- Total energy: -1.170 eV per atom
- Formation energy: 2.2 kJ/mol of atoms

(6)
Compound: KNa5Cd2
Source: Alexandria
Functional: GGA-PBE
Structure: relaxed

```
data_KNa5Cd2
_symmetry_space_group_name_H-M 'P 1'
_symmetry_Int_Tables_number 1
_symmetry_space_group_name_Hall 'P 1'
_cell_length_a 5.0143
_cell_length_b 9.8636
_cell_length_c 11.8915
_cell_angle_alpha 90.00
_cell_angle_beta 90.00
_cell_angle_gamma 90.00
loop_
_atom_site_label
_atom_site_type_symbol
_atom_site_fract_x
_atom_site_fract_y
_atom_site_fract_z
K1 K 0.0000 0.0000 0.0000
K2 K 0.5000 0.5000 0.5000
Na1 Na 0.0000 0.1834 0.3391
Na2 Na 0.0000 0.1834 0.6609
Na3 Na 0.0000 0.5000 0.0000
Na4 Na 0.0000 0.8166 0.3391
Na5 Na 0.0000 0.8166 0.6609
Na6 Na 0.5000 0.0000 0.5000
Na7 Na 0.5000 0.3166 0.1609
Na8 Na 0.5000 0.3166 0.8391
Na9 Na 0.5000 0.6834 0.1609
Na10 Na 0.5000 0.6834 0.8391
Cd1 Cd 0.0000 0.5000 0.2692
Cd2 Cd 0.0000 0.5000 0.7308
Cd3 Cd 0.5000 0.0000 0.2308
Cd4 Cd 0.5000 0.0000 0.7692
```

- Total energy: -1.207 eV per atom
- Formation energy: -1.6 kJ/mol of atoms

(7)
Compound: KNaCd2
Source: Alexandria
Functional: GGA-PBE
Structure: relaxed

```
data_KNaCd2
_symmetry_space_group_name_H-M 'P 1'
_symmetry_Int_Tables_number 1
_symmetry_space_group_name_Hall 'P 1'
_cell_length_a 4.0209
_cell_length_b 4.0209
_cell_length_c 8.1268
_cell_angle_alpha 90.00
_cell_angle_beta 90.00
_cell_angle_gamma 90.00
loop_
_atom_site_label
_atom_site_type_symbol
_atom_site_fract_x
_atom_site_fract_y
_atom_site_fract_z
K1 K 0.0000 0.0000 0.0000
Na1 Na 0.0000 0.0000 0.5000
Cd1 Cd 0.5000 0.5000 0.3067
Cd2 Cd 0.5000 0.5000 0.6933
```

- Distance to the lowest polymorph of the same formula: 6 meV/atom
- Total energy: -1.113 eV per atom
- Formation energy: -4.9 kJ/mol of atoms

(8)
Compound: KNa7Cd2
Source: Alexandria
Functional: GGA-PBE
Structure: relaxed

```
data_KNa7Cd2
_symmetry_space_group_name_H-M 'P 1'
_symmetry_Int_Tables_number 1
_symmetry_space_group_name_Hall 'P 1'
_cell_length_a 8.8423
_cell_length_b 8.8423
_cell_length_c 6.0507
_cell_angle_alpha 90.00
_cell_angle_beta 90.00
_cell_angle_gamma 113.77
loop_
_atom_site_label
_atom_site_type_symbol
_atom_site_fract_x
_atom_site_fract_y
_atom_site_fract_z
K1 K 0.0000 0.0000 0.0000
Na1 Na 0.0723 0.3267 0.5000
Na2 Na 0.3267 0.0723 0.5000
Na3 Na 0.3384 0.6616 0.0000
Na4 Na 0.5000 0.5000 0.5000
Na5 Na 0.6616 0.3384 0.0000
Na6 Na 0.6733 0.9277 0.5000
Na7 Na 0.9277 0.6733 0.5000
Cd1 Cd 0.2888 0.7112 0.5000
Cd2 Cd 0.7112 0.2888 0.5000
```

- Total energy: -1.137 eV per atom
- Formation energy: 7.6 kJ/mol of atoms

(9)
Compound: KNaCd10
Source: Alexandria
Functional: GGA-PBE
Structure: relaxed

```
data_KNaCd10
_symmetry_space_group_name_H-M 'P 1'
_symmetry_Int_Tables_number 1
_symmetry_space_group_name_Hall 'P 1'
_cell_length_a 4.8471
_cell_length_b 6.1764
_cell_length_c 10.6155
_cell_angle_alpha 90.00
_cell_angle_beta 90.00
_cell_angle_gamma 90.00
loop_
_atom_site_label
_atom_site_type_symbol
_atom_site_fract_x
_atom_site_fract_y
_atom_site_fract_z
K1 K 0.0000 0.0000 0.0000
Na1 Na 0.0000 0.5000 0.5000
Cd1 Cd 0.0000 0.0000 0.3401
Cd2 Cd 0.0000 0.0000 0.6599
Cd3 Cd 0.0000 0.5000 0.1752
Cd4 Cd 0.0000 0.5000 0.8248
Cd5 Cd 0.5000 0.0000 0.5000
Cd6 Cd 0.5000 0.2505 0.2528
Cd7 Cd 0.5000 0.2505 0.7472
Cd8 Cd 0.5000 0.5000 0.0000
Cd9 Cd 0.5000 0.7495 0.2528
Cd10 Cd 0.5000 0.7495 0.7472
```

- Total energy: -1.014 eV per atom
- Formation energy: -4.8 kJ/mol of atoms

(10)
Compound: KNa2Cd
Source: Alexandria
Functional: GGA-PBE
Structure: relaxed

```
data_KNa2Cd
_symmetry_space_group_name_H-M 'P 1'
_symmetry_Int_Tables_number 1
_symmetry_space_group_name_Hall 'P 1'
_cell_length_a 4.0563
_cell_length_b 4.0563
_cell_length_c 9.3100
_cell_angle_alpha 90.00
_cell_angle_beta 90.00
_cell_angle_gamma 90.00
loop_
_atom_site_label
_atom_site_type_symbol
_atom_site_fract_x
_atom_site_fract_y
_atom_site_fract_z
K1 K 0.0000 0.0000 0.0000
Na1 Na 0.5000 0.5000 0.3197
Na2 Na 0.5000 0.5000 0.6803
Cd1 Cd 0.0000 0.0000 0.5000
```

- Total energy: -1.168 eV per atom
- Formation energy: -0.5 kJ/mol of atoms

What is the formula in the ninth record?
KNaCd10